Entry 1:
A plane-wave DFT calculation with PBE was carried out for a relaxed structure of NbMo6W.

Output
ΔE to the lowest computed polymorph   469 meV/atom

CIF file:
```
data_NbMo6W
_chemical_formula_sum 'Nb1 Mo6 W1'
_space_group_name_H-M_alt 'P 1'
_space_group_IT_number 1
_cell_length_a 4.506
_cell_length_b 4.506
_cell_length_c 7.677
_cell_angle_alpha 78.70
_cell_angle_beta 78.70
_cell_angle_gamma 72.82
loop_
_space_group_symop_operation_xyz
'x,y,z'
loop_
_atom_site_label
_atom_site_type_symbol
_atom_site_fract_x
_atom_site_fract_y
_atom_site_fract_z
Nb1 Nb 0.500 0.500 0.500
Mo1 Mo 0.466 0.942 0.708
Mo2 Mo 0.942 0.466 0.708
Mo3 Mo 0.058 0.534 0.292
Mo4 Mo 0.534 0.058 0.292
Mo5 Mo 0.630 0.630 0.082
Mo6 Mo 0.370 0.370 0.918
W1 W 0.000 0.000 0.000
```

---

Entry 2:
A plane-wave DFT calculation with PBE was carried out for a relaxed structure of Nb2Mo3W4.

CIF file:
```
data_Nb2Mo3W4
_chemical_formula_sum 'Nb2 Mo3 W4'
_space_group_name_H-M_alt 'P 1'
_space_group_IT_number 1
_cell_length_a 4.529
_cell_length_b 4.529
_cell_length_c 8.311
_cell_angle_alpha 90.01
_cell_angle_beta 90.00
_cell_angle_gamma 60.00
loop_
_space_group_symop_operation_xyz
'x,y,z'
loop_
_atom_site_label
_atom_site_type_symbol
_atom_site_fract_x
_atom_site_fract_y
_atom_site_fract_z
Nb1 Nb 0.333 0.333 0.777
Nb2 Nb 0.667 0.667 0.223
Mo1 Mo 0.333 0.333 0.443
Mo2 Mo 0.000 0.000 0.000
Mo3 Mo 0.667 0.667 0.557
W1 W 0.667 0.667 0.888
W2 W 0.000 0.000 0.336
W3 W 0.000 0.000 0.664
W4 W 0.333 0.333 0.112
```

---

Entry 3:
A plane-wave DFT calculation with PBE was carried out for a relaxed structure of Nb2Mo2W7.

Output
ΔE to the lowest computed polymorph   89 meV/atom

CIF file:
```
data_Nb2Mo2W7
_chemical_formula_sum 'Nb2 Mo2 W7'
_space_group_name_H-M_alt 'P 1'
_space_group_IT_number 1
_cell_length_a 5.200
_cell_length_b 6.350
_cell_length_c 6.350
_cell_angle_alpha 88.56
_cell_angle_beta 72.80
_cell_angle_gamma 72.80
loop_
_space_group_symop_operation_xyz
'x,y,z'
loop_
_atom_site_label
_atom_site_type_symbol
_atom_site_fract_x
_atom_site_fract_y
_atom_site_fract_z
Nb1 Nb 0.500 0.782 0.218
Nb2 Nb 0.500 0.218 0.782
Mo1 Mo 0.507 0.734 0.734
Mo2 Mo 0.493 0.266 0.266
W1 W 0.166 0.577 0.085
W2 W 0.834 0.915 0.423
W3 W 0.834 0.423 0.915
W4 W 0.166 0.085 0.577
W5 W 0.168 0.588 0.588
W6 W 0.000 0.000 0.000
W7 W 0.832 0.412 0.412
```

---

Entry 4:
A plane-wave DFT calculation with PBE was carried out for a relaxed structure of NbMo2W5.

Output
ΔE to the lowest computed polymorph   151 meV/atom

CIF file:
```
data_NbMo2W5
_chemical_formula_sum 'Nb2 Mo4 W10'
_space_group_name_H-M_alt 'P 1'
_space_group_IT_number 1
_cell_length_a 4.510
_cell_length_b 5.453
_cell_length_c 10.702
_cell_angle_alpha 90.00
_cell_angle_beta 90.00
_cell_angle_gamma 90.00
loop_
_space_group_symop_operation_xyz
'x,y,z'
loop_
_atom_site_label
_atom_site_type_symbol
_atom_site_fract_x
_atom_site_fract_y
_atom_site_fract_z
Nb1 Nb 0.000 0.000 0.500
Nb2 Nb 0.000 0.500 0.000
Mo1 Mo 0.500 0.335 0.380
Mo2 Mo 0.500 0.665 0.620
Mo3 Mo 0.500 0.165 0.880
Mo4 Mo 0.500 0.835 0.120
W1 W 0.500 0.333 0.123
W2 W 0.500 0.667 0.877
W3 W 0.500 0.833 0.377
W4 W 0.500 0.167 0.623
W5 W 0.000 0.837 0.751
W6 W 0.000 0.163 0.249
W7 W 0.000 0.337 0.749
W8 W 0.000 0.663 0.251
W9 W 0.000 0.500 0.500
W10 W 0.000 0.000 0.000
```

---

Entry 5:
A plane-wave DFT calculation with PBE was carried out for a relaxed structure of Nb5MoW4.

Output
ΔE to the lowest computed polymorph   0 meV/atom

CIF file:
```
data_Nb5MoW4
_chemical_formula_sum 'Nb5 Mo1 W4'
_space_group_name_H-M_alt 'P 1'
_space_group_IT_number 1
_cell_length_a 3.241
_cell_length_b 3.241
_cell_length_c 16.192
_cell_angle_alpha 90.00
_cell_angle_beta 90.00
_cell_angle_gamma 90.00
loop_
_space_group_symop_operation_xyz
'x,y,z'
loop_
_atom_site_label
_atom_site_type_symbol
_atom_site_fract_x
_atom_site_fract_y
_atom_site_fract_z
Nb1 Nb 0.500 0.500 0.099
Nb2 Nb 0.500 0.500 0.300
Nb3 Nb 0.500 0.500 0.500
Nb4 Nb 0.500 0.500 0.700
Nb5 Nb 0.500 0.500 0.901
Mo1 Mo 0.000 0.000 0.000
W1 W 0.000 0.000 0.200
W2 W 0.000 0.000 0.400
W3 W 0.000 0.000 0.600
W4 W 0.000 0.000 0.800
```

---

Entry 6:
A plane-wave DFT calculation with PBE was carried out for a relaxed structure of Nb3MoW2.

Output
ΔE to the lowest computed polymorph   5 meV/atom

CIF file:
```
data_Nb3MoW2
_chemical_formula_sum 'Nb6 Mo2 W4'
_space_group_name_H-M_alt 'P 1'
_space_group_IT_number 1
_cell_length_a 4.584
_cell_length_b 7.924
_cell_length_c 7.924
_cell_angle_alpha 119.84
_cell_angle_beta 106.79
_cell_angle_gamma 106.79
loop_
_space_group_symop_operation_xyz
'x,y,z'
loop_
_atom_site_label
_atom_site_type_symbol
_atom_site_fract_x
_atom_site_fract_y
_atom_site_fract_z
Nb1 Nb 0.001 0.168 0.334
Nb2 Nb 0.501 0.334 0.168
Nb3 Nb 0.000 0.500 0.000
Nb4 Nb 0.999 0.832 0.666
Nb5 Nb 0.500 0.000 0.500
Nb6 Nb 0.499 0.666 0.832
Mo1 Mo 0.250 0.584 0.416
Mo2 Mo 0.750 0.416 0.584
W1 W 0.250 0.917 0.083
W2 W 0.250 0.249 0.751
W3 W 0.750 0.083 0.917
W4 W 0.750 0.751 0.249
```

---

Entry 7:
A plane-wave DFT calculation with PBE was carried out for a relaxed structure of Nb4Mo2W3.

Output
ΔE to the lowest computed polymorph   0 meV/atom

CIF file:
```
data_Nb4Mo2W3
_chemical_formula_sum 'Nb4 Mo2 W3'
_space_group_name_H-M_alt 'P 1'
_space_group_IT_number 1
_cell_length_a 4.559
_cell_length_b 4.559
_cell_length_c 8.451
_cell_angle_alpha 90.00
_cell_angle_beta 90.00
_cell_angle_gamma 60.00
loop_
_space_group_symop_operation_xyz
'x,y,z'
loop_
_atom_site_label
_atom_site_type_symbol
_atom_site_fract_x
_atom_site_fract_y
_atom_site_fract_z
Nb1 Nb 0.667 0.667 0.889
Nb2 Nb 0.000 0.000 0.331
Nb3 Nb 0.000 0.000 0.669
Nb4 Nb 0.333 0.333 0.111
Mo1 Mo 0.333 0.333 0.773
Mo2 Mo 0.667 0.667 0.227
W1 W 0.333 0.333 0.451
W2 W 0.000 0.000 0.000
W3 W 0.667 0.667 0.549
```

---

Entry 8:
A plane-wave DFT calculation with PBE was carried out for a relaxed structure of Nb3Mo4W.

Output
ΔE to the lowest computed polymorph   265 meV/atom

CIF file:
```
data_Nb3Mo4W
_chemical_formula_sum 'Nb6 Mo8 W2'
_space_group_name_H-M_alt 'P 1'
_space_group_IT_number 1
_cell_length_a 5.492
_cell_length_b 5.437
_cell_length_c 9.116
_cell_angle_alpha 90.00
_cell_angle_beta 90.00
_cell_angle_gamma 90.00
loop_
_space_group_symop_operation_xyz
'x,y,z'
loop_
_atom_site_label
_atom_site_type_symbol
_atom_site_fract_x
_atom_site_fract_y
_atom_site_fract_z
Nb1 Nb 0.808 0.737 0.000
Nb2 Nb 0.066 0.909 0.251
Nb3 Nb 0.566 0.091 0.249
Nb4 Nb 0.308 0.263 0.500
Nb5 Nb 0.566 0.091 0.751
Nb6 Nb 0.066 0.909 0.749
Mo1 Mo 0.314 0.760 0.000
Mo2 Mo 0.319 0.260 0.000
Mo3 Mo 0.060 0.408 0.246
Mo4 Mo 0.560 0.592 0.254
Mo5 Mo 0.819 0.740 0.500
Mo6 Mo 0.814 0.240 0.500
Mo7 Mo 0.560 0.592 0.746
Mo8 Mo 0.060 0.408 0.754
W1 W 0.822 0.240 0.000
W2 W 0.322 0.760 0.500
```

---

Entry 9:
A plane-wave DFT calculation with PBE was carried out for a relaxed structure of Nb6Mo5W.

CIF file:
```
data_Nb6Mo5W
_chemical_formula_sum 'Nb6 Mo5 W1'
_space_group_name_H-M_alt 'P 1'
_space_group_IT_number 1
_cell_length_a 4.583
_cell_length_b 6.458
_cell_length_c 7.918
_cell_angle_alpha 114.06
_cell_angle_beta 106.84
_cell_angle_gamma 90.00
loop_
_space_group_symop_operation_xyz
'x,y,z'
loop_
_atom_site_label
_atom_site_type_symbol
_atom_site_fract_x
_atom_site_fract_y
_atom_site_fract_z
Nb1 Nb 0.833 0.583 0.666
Nb2 Nb 0.833 0.083 0.666
Nb3 Nb 0.500 0.749 0.000
Nb4 Nb 0.500 0.251 0.000
Nb5 Nb 0.167 0.917 0.334
Nb6 Nb 0.167 0.417 0.334
Mo1 Mo 0.666 0.166 0.332
Mo2 Mo 0.333 0.333 0.666
Mo3 Mo 0.000 0.500 0.000
Mo4 Mo 0.667 0.667 0.334
Mo5 Mo 0.334 0.834 0.668
W1 W 0.000 0.000 0.000
```

---

Entry 10:
A plane-wave DFT calculation with PBE was carried out for a relaxed structure of Nb3MoW4.

Output
ΔE to the lowest computed polymorph   620 meV/atom

CIF file:
```
data_Nb3MoW4
_chemical_formula_sum 'Nb6 Mo2 W8'
_space_group_name_H-M_alt 'P 1'
_space_group_IT_number 1
_cell_length_a 5.484
_cell_length_b 9.913
_cell_length_c 5.244
_cell_angle_alpha 90.00
_cell_angle_beta 90.00
_cell_angle_gamma 90.00
loop_
_space_group_symop_operation_xyz
'x,y,z'
loop_
_atom_site_label
_atom_site_type_symbol
_atom_site_fract_x
_atom_site_fract_y
_atom_site_fract_z
Nb1 Nb 0.722 0.883 0.000
Nb2 Nb 0.065 0.625 0.250
Nb3 Nb 0.565 0.375 0.250
Nb4 Nb 0.222 0.117 0.500
Nb5 Nb 0.565 0.375 0.750
Nb6 Nb 0.065 0.625 0.750
Mo1 Mo 0.905 0.126 0.000
Mo2 Mo 0.405 0.874 0.500
W1 W 0.216 0.882 0.000
W2 W 0.411 0.126 0.000
W3 W 0.065 0.348 0.251
W4 W 0.565 0.652 0.249
W5 W 0.911 0.874 0.500
W6 W 0.716 0.118 0.500
W7 W 0.565 0.652 0.751
W8 W 0.065 0.348 0.749
```

---

Entry 11:
A plane-wave DFT calculation with PBE was carried out for a relaxed structure of Nb12Mo5W2.

CIF file:
```
data_Nb12Mo5W2
_chemical_formula_sum 'Nb12 Mo5 W2'
_space_group_name_H-M_alt 'P 1'
_space_group_IT_number 1
_cell_length_a 6.039
_cell_length_b 7.833
_cell_length_c 8.606
_cell_angle_alpha 98.47
_cell_angle_beta 90.00
_cell_angle_gamma 112.67
loop_
_space_group_symop_operation_xyz
'x,y,z'
loop_
_atom_site_label
_atom_site_type_symbol
_atom_site_fract_x
_atom_site_fract_y
_atom_site_fract_z
Nb1 Nb 0.906 0.813 0.182
Nb2 Nb 0.061 0.638 0.873
Nb3 Nb 0.577 0.638 0.873
Nb4 Nb 0.117 0.713 0.416
Nb5 Nb 0.597 0.713 0.416
Nb6 Nb 0.476 0.951 0.710
Nb7 Nb 0.524 0.049 0.290
Nb8 Nb 0.883 0.287 0.584
Nb9 Nb 0.403 0.287 0.584
Nb10 Nb 0.939 0.362 0.127
Nb11 Nb 0.423 0.362 0.127
Nb12 Nb 0.094 0.187 0.818
Mo1 Mo 0.292 0.584 0.631
Mo2 Mo 0.347 0.693 0.135
Mo3 Mo 0.000 0.000 0.500
Mo4 Mo 0.653 0.307 0.865
Mo5 Mo 0.708 0.416 0.369
W1 W 0.742 0.000 0.000
W2 W 0.258 0.000 0.000
```

---

Entry 12:
A plane-wave DFT calculation with PBE was carried out for a relaxed structure of Nb2Mo5W2.

CIF file:
```
data_Nb2Mo5W2
_chemical_formula_sum 'Nb4 Mo10 W4'
_space_group_name_H-M_alt 'P 1'
_space_group_IT_number 1
_cell_length_a 5.164
_cell_length_b 9.184
_cell_length_c 9.433
_cell_angle_alpha 129.99
_cell_angle_beta 106.90
_cell_angle_gamma 94.55
loop_
_space_group_symop_operation_xyz
'x,y,z'
loop_
_atom_site_label
_atom_site_type_symbol
_atom_site_fract_x
_atom_site_fract_y
_atom_site_fract_z
Nb1 Nb 0.009 0.982 0.980
Nb2 Nb 0.465 0.521 0.001
Nb3 Nb 0.139 0.242 0.523
Nb4 Nb 0.680 0.701 0.500
Mo1 Mo 0.074 0.110 0.748
Mo2 Mo 0.098 0.817 0.146
Mo3 Mo 0.740 0.203 0.947
Mo4 Mo 0.589 0.952 0.093
Mo5 Mo 0.415 0.318 0.145
Mo6 Mo 0.073 0.612 0.751
Mo7 Mo 0.050 0.406 0.356
Mo8 Mo 0.573 0.612 0.751
Mo9 Mo 0.736 0.906 0.353
Mo10 Mo 0.410 0.017 0.551
W1 W 0.558 0.271 0.406
W2 W 0.321 0.849 0.718
W3 W 0.073 0.610 0.250
W4 W 0.825 0.374 0.782
```

---

| no. | formation energy from the elements (eV/atom) | M_tot (μB/f.u.) |
| --- | --- | --- |
| 1 | 0.718 | 0.000 |
| 2 | -0.061 | 0.000 |
| 3 | 0.329 | 0.000 |
| 4 | 0.106 | 0.000 |
| 5 | -0.065 | 0.000 |
| 6 | -0.079 | 0.000 |
| 7 | -0.102 | 0.000 |
| 8 | 0.146 | 0.000 |
| 9 | -0.125 | 0.000 |
| 10 | 0.565 | 0.000 |
| 11 | 0.608 | 0.000 |
| 12 | 0.272 | 0.000 |